# 1
Material: BeIr2Os
Method: DFT, PBE
State: optimized geometry

Properties
The value obtained for the formation energy from the elements is 13 meV/atom. The value obtained for the energy is -8.157 eV per atom.

Structure (POSCAR):
```
BeIr2Os
1.0
4.596 0.000 0.039
3.800 2.586 0.039
0.778 0.240 4.520
Be Ir Os
1 2 1
Direct
0.250 0.250 0.250 Be
0.504 0.504 0.493 Ir
0.996 0.996 0.007 Ir
0.750 0.750 0.750 Os
```

***

# 2
Material: Ti6MnIn3
Method: DFT, PBE
State: optimized geometry

Properties
The value obtained for the formation energy from the elements is 94 meV/atom. The value obtained for the energy is -6.382 eV per atom.

Structure (POSCAR):
```
Ti6MnIn3
1.0
7.240 -1.215 -0.859
2.516 5.086 0.397
2.516 2.074 4.661
Ti Mn In
6 1 3
Direct
0.332 0.123 0.602 Ti
0.332 0.602 0.123 Ti
0.086 0.619 0.619 Ti
0.914 0.381 0.381 Ti
0.668 0.398 0.877 Ti
0.668 0.877 0.398 Ti
0.500 0.500 0.500 Mn
0.000 0.000 0.000 In
0.310 0.122 0.122 In
0.690 0.878 0.878 In
```

***

# 3
Material: Ba2TlH7O7
Method: DFT, PBE
State: optimized geometry

Properties
The value obtained for the energy is -5.239 eV per atom.

Structure (POSCAR):
```
Ba2TlH7O7
1.0
-4.131 -3.178 -4.481
2.280 -4.922 -4.222
-2.528 -8.382 6.112
H O Tl Ba
14 14 2 4
Direct
0.134 0.866 0.750 H
0.322 0.955 0.797 H
0.688 0.577 0.146 H
0.423 0.312 0.354 H
0.577 0.688 0.646 H
0.955 0.322 0.297 H
0.883 0.906 0.385 H
0.906 0.883 0.885 H
0.866 0.134 0.250 H
0.117 0.094 0.615 H
0.045 0.678 0.703 H
0.094 0.117 0.115 H
0.312 0.423 0.854 H
0.678 0.045 0.203 H
0.352 0.454 0.399 O
0.124 0.207 0.042 O
0.987 0.013 0.750 O
0.893 0.486 0.301 O
0.793 0.876 0.458 O
0.013 0.987 0.250 O
0.107 0.514 0.699 O
0.648 0.546 0.601 O
0.546 0.648 0.101 O
0.454 0.352 0.899 O
0.876 0.793 0.958 O
0.207 0.124 0.542 O
0.486 0.893 0.801 O
0.514 0.107 0.199 O
0.500 0.000 0.000 Tl
0.000 0.500 0.500 Tl
0.191 0.569 0.131 Ba
0.431 0.809 0.369 Ba
0.569 0.191 0.631 Ba
0.809 0.431 0.869 Ba
```

***

# 4
Material: CeThSc5
Method: DFT, PBE
State: optimized geometry

Properties
The value obtained for the formation energy from the elements is 181 meV/atom. The value obtained for the energy is -6.249 eV per atom.

Structure (POSCAR):
```
CeThSc5
1.0
5.647 0.000 1.306
2.824 8.107 0.653
-0.340 0.000 8.109
Th Sc Ce
2 10 2
Direct
0.000 0.000 0.500 Th
0.000 0.000 0.000 Th
0.387 0.631 0.851 Sc
0.017 0.369 0.351 Sc
0.549 0.675 0.461 Sc
0.613 0.369 0.149 Sc
0.844 0.312 0.750 Sc
0.983 0.631 0.649 Sc
0.776 0.675 0.039 Sc
0.224 0.325 0.961 Sc
0.156 0.688 0.250 Sc
0.451 0.325 0.539 Sc
0.504 0.993 0.750 Ce
0.496 0.007 0.250 Ce
```

***

# 5
Material: Mn2VCo
Method: DFT, PBE
State: optimized geometry

Properties
The excess energy over the best structure of this formula in the dataset is 587 meV/atom. The value obtained for the formation energy from the elements is 497 meV/atom. The value obtained for the energy is -8.144 eV per atom.

Structure (POSCAR):
```
Mn2VCo
1.0
-0.329 -1.998 2.687
3.296 -0.669 -0.095
3.016 5.467 6.540
Mn V Co
4 2 2
Direct
0.375 0.362 0.750 Mn
0.875 0.888 0.750 Mn
0.112 0.625 0.250 Mn
0.638 0.125 0.250 Mn
0.500 0.500 0.000 V
0.250 0.750 0.500 V
0.000 0.000 0.000 Co
0.750 0.250 0.500 Co
```

***

# 6
Material: Sr2LiW
Method: DFT, PBE
State: optimized geometry

Properties
The excess energy over the best structure of this formula in the dataset is 57 meV/atom. The value obtained for the formation energy from the elements is 953 meV/atom. The value obtained for the energy is -3.605 eV per atom.

Structure (POSCAR):
```
Sr2LiW
1.0
-2.793 1.448 1.500
1.072 -1.154 3.109
4.754 7.849 1.275
Sr Li W
2 1 1
Direct
0.500 0.500 0.321 Sr
0.000 0.000 0.928 Sr
0.500 0.500 0.688 Li
0.000 0.000 0.563 W
```

***

# 7
Material: NaSr2CaCo
Method: DFT, PBE
State: optimized geometry

Properties
The value obtained for the formation energy from the elements is 189 meV/atom. The value obtained for the energy is -2.569 eV per atom.

Structure (POSCAR):
```
NaSr2CaCo
1.0
5.858 0.000 0.000
0.000 5.858 0.000
0.000 0.000 5.552
Na Sr Co Ca
1 2 1 1
Direct
0.500 0.500 0.500 Na
0.500 0.000 0.000 Sr
0.000 0.500 0.000 Sr
0.000 0.000 0.000 Co
0.000 0.000 0.500 Ca
```

***

# 8
Material: NaLa3Ir
Method: DFT, PBE
State: optimized geometry

Properties
The excess energy over the best structure of this formula in the dataset is 8 meV/atom. The value obtained for the formation energy from the elements is -317 meV/atom. The value obtained for the energy is -5.309 eV per atom.

Structure (POSCAR):
```
NaLa3Ir
1.0
3.948 0.000 0.000
0.000 9.456 -0.013
0.010 -2.159 9.043
Na La Ir
2 6 2
Direct
0.668 0.268 0.413 Na
0.171 0.907 0.356 Na
0.669 0.671 0.581 La
0.169 0.424 0.793 La
0.168 0.119 0.056 La
0.669 0.056 0.713 La
0.668 0.751 0.975 La
0.168 0.503 0.187 La
0.169 0.855 0.790 Ir
0.668 0.319 0.978 Ir
```